An optimized crystal structure of Co2Bi2Sb. Source: Alexandria, functional PBE.

It has space group I4/mmm (No. 139), with a = 3.4278 Å, b = 3.4278 Å, c = 19.4487 Å, α = 90.00°, β = 90.00° and γ = 90.00°. The inequivalent atoms are Co at (0.0000, 0.5000, 0.2500), Bi at (0.0000, 0.0000, 0.1377) and Sb at (0.0000, 0.0000, 0.5000).

The value obtained for the uncorrected formation energy is 0.314 eV per atom.

=====

An optimized crystal structure of AgPRh2. Source: Alexandria, functional PBE.

It has space group P4/mmm (No. 123), with a = 4.1753 Å, b = 4.1753 Å, c = 3.3480 Å, α = 90.00°, β = 90.00° and γ = 90.00°. The inequivalent atoms are Ag at (0.0000, 0.0000, 0.0000), P at (0.5000, 0.5000, 0.0000) and Rh at (0.0000, 0.5000, 0.5000).

As for the uncorrected energy: -5.6165 eV/atom.

=====

An optimized crystal structure of ZnSi2Se. Source: Alexandria, functional PBE.

It has space group Immm (No. 71), with a = 3.3038 Å, b = 4.5610 Å, c = 9.0538 Å, α = 90.00°, β = 90.00° and γ = 90.00°. The inequivalent atoms are Zn at (0.0000, 0.0000, 0.0000), Si at (0.0000, 0.5000, 0.2426) and Se at (0.0000, 0.0000, 0.5000).

The value obtained for the uncorrected formation energy is 0.410 eV per atom.

=====

An optimized crystal structure of Li5Pb. Source: Alexandria, functional PBE.

It has space group F-43m (No. 216), with a = 7.6149 Å, b = 7.6149 Å, c = 7.6149 Å, α = 90.00°, β = 90.00° and γ = 90.00°. The inequivalent atoms are Li at (0.0000, 0.0000, 0.0000), Li at (0.1240, 0.1240, 0.6240) and Pb at (0.2500, 0.2500, 0.2500).

As for the uncorrected energy: -2.3625 eV/atom.

=====

An optimized crystal structure of Li5TlAg5. Source: Alexandria, functional PBE.

It has space group P-1 (No. 2), with a = 5.4762 Å, b = 5.5881 Å, c = 7.0700 Å, α = 77.95°, β = 79.38° and γ = 66.34°. The inequivalent atoms are Li at (0.0000, 0.0000, 0.0000), Li at (0.1654, 0.1580, 0.3573), Li at (0.3288, 0.3206, 0.6519), Tl at (0.0000, 0.5000, 0.0000), Ag at (0.1869, 0.6726, 0.3212), Ag at (0.3349, 0.8089, 0.6897) and Ag at (0.5000, 0.0000, 0.0000).

As for the uncorrected energy: -2.5232 eV/atom.

=====

An optimized crystal structure of CoMo2OsCl. Source: Alexandria, functional PBE.

It has space group P4/mmm (No. 123), with a = 4.6136 Å, b = 4.6136 Å, c = 3.9268 Å, α = 90.00°, β = 90.00° and γ = 90.00°. The inequivalent atoms are Co at (0.0000, 0.0000, 0.0000), Mo at (0.0000, 0.5000, 0.0000), Os at (0.5000, 0.5000, 0.5000) and Cl at (0.0000, 0.0000, 0.5000).

The value obtained for the uncorrected formation energy is 1.706 eV per atom.

=====

An optimized crystal structure of Cs2NaGeRu. Source: Alexandria, functional PBE.

It has space group P4/mmm (No. 123), with a = 6.7313 Å, b = 6.7313 Å, c = 5.7751 Å, α = 90.00°, β = 90.00° and γ = 90.00°. The inequivalent atoms are Cs at (0.0000, 0.5000, 0.0000), Na at (0.0000, 0.0000, 0.5000), Ge at (0.0000, 0.0000, 0.0000) and Ru at (0.5000, 0.5000, 0.5000).

As for the uncorrected energy: -2.1892 eV/atom.

=====

An optimized crystal structure of GaAg2H2. Source: Alexandria, functional PBE.

It has space group I4/mmm (No. 139), with a = 3.6866 Å, b = 3.6866 Å, c = 9.4958 Å, α = 90.00°, β = 90.00° and γ = 90.00°. The inequivalent atoms are Ga at (0.0000, 0.0000, 0.0000), Ag at (0.0000, 0.0000, 0.3448) and H at (0.0000, 0.5000, 0.2500).

As for the uncorrected energy: -2.7327 eV/atom.

=====

An optimized crystal structure of LaPmZnPb. Source: Alexandria, functional PBE.

It has space group F-43m (No. 216), with a = 7.7051 Å, b = 7.7051 Å, c = 7.7051 Å, α = 90.00°, β = 90.00° and γ = 90.00°. The inequivalent atoms are La at (0.0000, 0.0000, 0.0000), Pm at (0.0000, 0.0000, 0.5000), Zn at (0.2500, 0.2500, 0.7500) and Pb at (0.2500, 0.2500, 0.2500).

As for the uncorrected energy: -4.0886 eV/atom.

=====

An optimized crystal structure of Re2HgSb. Source: Alexandria, functional PBE.

It has space group Imm2 (No. 44), with a = 2.9265 Å, b = 4.7303 Å, c = 11.3027 Å, α = 90.00°, β = 90.00° and γ = 90.00°. The inequivalent atoms are Re at (0.0000, 0.0000, 0.0000), Re at (0.0000, 0.5000, 0.3147), Hg at (0.0000, 0.0000, 0.5107) and Sb at (0.0000, 0.5000, 0.7224).

The value obtained for the uncorrected formation energy is 0.764 eV per atom.